VASP calculation (PBE-GGA) on a relaxed structure of LaNd2Mg3Ir2Pt.

Cell and atoms, written as POSCAR:
```
LaNd2Mg3Ir2Pt
1.0
-2.5763 -2.1003 -2.4466
-5.4183 0.6584 5.1402
0.7393 5.2587 -5.2927
Pt Mg Nd Ir La
1 3 2 2 1
direct
0.0000 0.0026 0.0026
0.5000 0.2396 0.2396
0.5000 0.0023 0.7572
0.5000 0.7572 0.0023
0.0000 0.9990 0.4148
0.0000 0.4148 0.9990
0.5000 0.3359 0.6678
0.5000 0.6678 0.3359
0.0000 0.5809 0.5809
```

Values from the calculation:
The symmetry is Amm2 (38). The value obtained for the total magnetic moment is 0.00 μB/f.u. As for the calculated total energy: -5.4848 eV per atom.

VASP calculation (PBE-GGA) on a relaxed structure of La2NdMg3Ir2Pt.

Cell and atoms, written as POSCAR:
```
La2NdMg3Ir2Pt
1.0
4.1385 0.0000 0.0000
0.0000 6.5556 3.7551
0.0000 -6.5556 3.7551
Mg La Nd Ir Pt
3 2 1 2 1
direct
0.5000 0.2440 0.2440
0.5000 0.9977 0.7594
0.5000 0.7594 0.9977
0.0000 0.4200 0.0013
0.0000 0.0013 0.4200
0.0000 0.5844 0.5844
0.5000 0.3306 0.6651
0.5000 0.6651 0.3306
0.0000 0.9975 0.9975
```

Values from the calculation:
The symmetry is Amm2 (38). The value obtained for the total magnetic moment is 0.00 μB/f.u. As for the calculated total energy: -5.5132 eV per atom.